First-principles (PBE) data for a relaxed structure of PaBi3F, as listed in the Open Quantum Materials Database.

Structure (CIF):
```
data_PaBi3F
_symmetry_space_group_name_H-M 'P m -3 m'
_symmetry_Int_Tables_number 221
_symmetry_space_group_name_Hall '-P 4 2 3'
_cell_length_a 5.010
_cell_length_b 5.010
_cell_length_c 5.010
_cell_angle_alpha 90.00
_cell_angle_beta 90.00
_cell_angle_gamma 90.00
loop_
_atom_site_label
_atom_site_type_symbol
_atom_site_fract_x
_atom_site_fract_y
_atom_site_fract_z
Pa1 Pa 0.000 0.000 0.000
Bi1 Bi 0.000 0.500 0.500
F1 F 0.500 0.500 0.500
```

---

First-principles (PBE) data for a relaxed structure of Pr2BiSe2F, as listed in the Open Quantum Materials Database.

Structure (CIF):
```
data_Pr2BiSe2F
_symmetry_space_group_name_H-M 'P -4 m 2'
_symmetry_Int_Tables_number 115
_symmetry_space_group_name_Hall 'P -4 -2'
_cell_length_a 4.082
_cell_length_b 4.082
_cell_length_c 9.145
_cell_angle_alpha 90.00
_cell_angle_beta 90.00
_cell_angle_gamma 90.00
loop_
_atom_site_label
_atom_site_type_symbol
_atom_site_fract_x
_atom_site_fract_y
_atom_site_fract_z
Pr1 Pr 0.000 0.500 0.211
Bi1 Bi 0.000 0.000 0.500
Se1 Se 0.000 0.500 0.872
F1 F 0.500 0.500 0.500
```

---

First-principles (PBE) data for a relaxed structure of Fe3Bi, as listed in the Open Quantum Materials Database.

Structure (CIF):
```
data_Fe3Bi
_symmetry_space_group_name_H-M 'F m -3 m'
_symmetry_Int_Tables_number 225
_symmetry_space_group_name_Hall '-F 4 2 3'
_cell_length_a 6.158
_cell_length_b 6.158
_cell_length_c 6.158
_cell_angle_alpha 90.00
_cell_angle_beta 90.00
_cell_angle_gamma 90.00
loop_
_atom_site_label
_atom_site_type_symbol
_atom_site_fract_x
_atom_site_fract_y
_atom_site_fract_z
Fe1 Fe 0.000 0.000 0.000
Fe2 Fe 0.250 0.250 0.250
Bi1 Bi 0.000 0.000 0.500
```

---

First-principles (PBE) data for a relaxed structure of FeBi3, as listed in the Open Quantum Materials Database.

Calculated values
The value obtained for the energy above the most stable polymorph in this dataset is 491 meV per atom.

Structure (CIF):
```
data_FeBi3
_symmetry_space_group_name_H-M 'I 4/m m m'
_symmetry_Int_Tables_number 139
_symmetry_space_group_name_Hall '-I 4 2'
_cell_length_a 4.780
_cell_length_b 4.780
_cell_length_c 9.579
_cell_angle_alpha 90.00
_cell_angle_beta 90.00
_cell_angle_gamma 90.00
loop_
_atom_site_label
_atom_site_type_symbol
_atom_site_fract_x
_atom_site_fract_y
_atom_site_fract_z
Fe1 Fe 0.000 0.000 0.000
Bi1 Bi 0.000 0.000 0.500
Bi2 Bi 0.000 0.500 0.250
```

---

First-principles (PBE) data for a relaxed structure of FeBi3, as listed in the Open Quantum Materials Database.

Calculated values
The value obtained for the energy above the most stable polymorph in this dataset is 293 meV per atom.

Structure (CIF):
```
data_FeBi3
_symmetry_space_group_name_H-M 'P 63/m m c'
_symmetry_Int_Tables_number 194
_symmetry_space_group_name_Hall '-P 6c 2c'
_cell_length_a 7.9088
_cell_length_b 7.9088
_cell_length_c 4.0559
_cell_angle_alpha 90.00
_cell_angle_beta 90.00
_cell_angle_gamma 120.00
loop_
_atom_site_label
_atom_site_type_symbol
_atom_site_fract_x
_atom_site_fract_y
_atom_site_fract_z
Fe1 Fe 0.3333 0.6667 0.2500
Bi1 Bi 0.1914 0.3828 0.7500
```

---

First-principles (PBE) data for a relaxed structure of FeBi3, as listed in the Open Quantum Materials Database.

Calculated values
The value obtained for the energy above the most stable polymorph in this dataset is 488 meV per atom.

Structure (CIF):
```
data_FeBi3
_symmetry_space_group_name_H-M 'F m -3 m'
_symmetry_Int_Tables_number 225
_symmetry_space_group_name_Hall '-F 4 2 3'
_cell_length_a 7.570
_cell_length_b 7.570
_cell_length_c 7.570
_cell_angle_alpha 90.00
_cell_angle_beta 90.00
_cell_angle_gamma 90.00
loop_
_atom_site_label
_atom_site_type_symbol
_atom_site_fract_x
_atom_site_fract_y
_atom_site_fract_z
Fe1 Fe 0.000 0.000 0.000
Bi1 Bi 0.000 0.000 0.500
Bi2 Bi 0.250 0.250 0.250
```

---

First-principles (PBE) data for a relaxed structure of Fe3Bi, as listed in the Open Quantum Materials Database.

Structure (CIF):
```
data_Fe3Bi
_symmetry_space_group_name_H-M 'P 63/m m c'
_symmetry_Int_Tables_number 194
_symmetry_space_group_name_Hall '-P 6c 2c'
_cell_length_a 5.8118
_cell_length_b 5.8118
_cell_length_c 4.2984
_cell_angle_alpha 90.00
_cell_angle_beta 90.00
_cell_angle_gamma 120.00
loop_
_atom_site_label
_atom_site_type_symbol
_atom_site_fract_x
_atom_site_fract_y
_atom_site_fract_z
Fe1 Fe 0.1395 0.2790 0.2500
Bi1 Bi 0.3333 0.6667 0.7500
```

---

First-principles (PBE) data for a relaxed structure of FeBi3, as listed in the Open Quantum Materials Database.

Calculated values
The value obtained for the energy above the most stable polymorph in this dataset is 492 meV per atom.

Structure (CIF):
```
data_FeBi3
_symmetry_space_group_name_H-M 'P m -3 m'
_symmetry_Int_Tables_number 221
_symmetry_space_group_name_Hall '-P 4 2 3'
_cell_length_a 4.781
_cell_length_b 4.781
_cell_length_c 4.781
_cell_angle_alpha 90.00
_cell_angle_beta 90.00
_cell_angle_gamma 90.00
loop_
_atom_site_label
_atom_site_type_symbol
_atom_site_fract_x
_atom_site_fract_y
_atom_site_fract_z
Fe1 Fe 0.000 0.000 0.000
Bi1 Bi 0.000 0.500 0.500
```

---

First-principles (PBE) data for a relaxed structure of Fe3Bi, as listed in the Open Quantum Materials Database.

Structure (CIF):
```
data_Fe3Bi
_symmetry_space_group_name_H-M 'I 4/m m m'
_symmetry_Int_Tables_number 139
_symmetry_space_group_name_Hall '-I 4 2'
_cell_length_a 3.891
_cell_length_b 3.891
_cell_length_c 7.879
_cell_angle_alpha 90.00
_cell_angle_beta 90.00
_cell_angle_gamma 90.00
loop_
_atom_site_label
_atom_site_type_symbol
_atom_site_fract_x
_atom_site_fract_y
_atom_site_fract_z
Fe1 Fe 0.000 0.000 0.000
Fe2 Fe 0.000 0.500 0.250
Bi1 Bi 0.000 0.000 0.500
```

---

First-principles (PBE) data for a relaxed structure of FeBi3, as listed in the Open Quantum Materials Database.

Calculated values
The value obtained for the energy above the most stable polymorph in this dataset is 0 meV per atom.

Structure (CIF):
```
data_FeBi3
_symmetry_space_group_name_H-M 'P n m a'
_symmetry_Int_Tables_number 62
_symmetry_space_group_name_Hall '-P 2ac 2n'
_cell_length_a 8.987
_cell_length_b 4.113
_cell_length_c 11.859
_cell_angle_alpha 90.00
_cell_angle_beta 90.00
_cell_angle_gamma 90.00
loop_
_atom_site_label
_atom_site_type_symbol
_atom_site_fract_x
_atom_site_fract_y
_atom_site_fract_z
Fe1 Fe 0.077 0.250 0.016
Bi1 Bi 0.093 0.750 0.178
Bi2 Bi 0.132 0.750 0.593
Bi3 Bi 0.206 0.750 0.890
```

---

First-principles (PBE) data for a relaxed structure of Fe2GeBi, as listed in the Open Quantum Materials Database.

Structure (CIF):
```
data_Fe2GeBi
_symmetry_space_group_name_H-M 'P m -3 m'
_symmetry_Int_Tables_number 221
_symmetry_space_group_name_Hall '-P 4 2 3'
_cell_length_a 6.483
_cell_length_b 6.483
_cell_length_c 6.483
_cell_angle_alpha 90.00
_cell_angle_beta 90.00
_cell_angle_gamma 90.00
loop_
_atom_site_label
_atom_site_type_symbol
_atom_site_fract_x
_atom_site_fract_y
_atom_site_fract_z
Fe1 Fe 0.210 0.210 0.210
Ge1 Ge 0.000 0.000 0.000
Ge2 Ge 0.000 0.000 0.500
Bi1 Bi 0.000 0.500 0.500
Bi2 Bi 0.500 0.500 0.500
```

---

First-principles (PBE) data for a relaxed structure of FeGeBi, as listed in the Open Quantum Materials Database.

Calculated values
The value obtained for the energy above the most stable polymorph in this dataset is 0 meV per atom.

Structure (CIF):
```
data_FeGeBi
_symmetry_space_group_name_H-M 'F -4 3 m'
_symmetry_Int_Tables_number 216
_symmetry_space_group_name_Hall 'F -4 2 3'
_cell_length_a 6.313
_cell_length_b 6.313
_cell_length_c 6.313
_cell_angle_alpha 90.00
_cell_angle_beta 90.00
_cell_angle_gamma 90.00
loop_
_atom_site_label
_atom_site_type_symbol
_atom_site_fract_x
_atom_site_fract_y
_atom_site_fract_z
Fe1 Fe 0.000 0.000 0.000
Ge1 Ge 0.250 0.250 0.250
Bi1 Bi 0.250 0.250 0.750
```

---

First-principles (PBE) data for a relaxed structure of Fe2GeBi, as listed in the Open Quantum Materials Database.

Structure (CIF):
```
data_Fe2GeBi
_symmetry_space_group_name_H-M 'P m -3 m'
_symmetry_Int_Tables_number 221
_symmetry_space_group_name_Hall '-P 4 2 3'
_cell_length_a 6.484
_cell_length_b 6.484
_cell_length_c 6.484
_cell_angle_alpha 90.00
_cell_angle_beta 90.00
_cell_angle_gamma 90.00
loop_
_atom_site_label
_atom_site_type_symbol
_atom_site_fract_x
_atom_site_fract_y
_atom_site_fract_z
Fe1 Fe 0.210 0.210 0.210
Ge1 Ge 0.000 0.000 0.000
Ge2 Ge 0.000 0.000 0.500
Bi1 Bi 0.000 0.500 0.500
Bi2 Bi 0.500 0.500 0.500
```

---

First-principles (PBE) data for a relaxed structure of NaFeGeBi, as listed in the Open Quantum Materials Database.

Calculated values
The value obtained for the energy above the most stable polymorph in this dataset is 182 meV per atom.

Structure (CIF):
```
data_NaFeGeBi
_symmetry_space_group_name_H-M 'F -4 3 m'
_symmetry_Int_Tables_number 216
_symmetry_space_group_name_Hall 'F -4 2 3'
_cell_length_a 7.065
_cell_length_b 7.065
_cell_length_c 7.065
_cell_angle_alpha 90.00
_cell_angle_beta 90.00
_cell_angle_gamma 90.00
loop_
_atom_site_label
_atom_site_type_symbol
_atom_site_fract_x
_atom_site_fract_y
_atom_site_fract_z
Na1 Na 0.000 0.000 0.000
Fe1 Fe 0.250 0.250 0.750
Ge1 Ge 0.250 0.250 0.250
Bi1 Bi 0.000 0.000 0.500
```

---

First-principles (PBE) data for a relaxed structure of NaFeGeBi, as listed in the Open Quantum Materials Database.

Calculated values
The value obtained for the energy above the most stable polymorph in this dataset is 0 meV per atom.

Structure (CIF):
```
data_NaFeGeBi
_symmetry_space_group_name_H-M 'F -4 3 m'
_symmetry_Int_Tables_number 216
_symmetry_space_group_name_Hall 'F -4 2 3'
_cell_length_a 6.900
_cell_length_b 6.900
_cell_length_c 6.900
_cell_angle_alpha 90.00
_cell_angle_beta 90.00
_cell_angle_gamma 90.00
loop_
_atom_site_label
_atom_site_type_symbol
_atom_site_fract_x
_atom_site_fract_y
_atom_site_fract_z
Na1 Na 0.000 0.000 0.000
Fe1 Fe 0.000 0.000 0.500
Ge1 Ge 0.250 0.250 0.250
Bi1 Bi 0.250 0.250 0.750
```

---

First-principles (PBE) data for a relaxed structure of HfFeBi2, as listed in the Open Quantum Materials Database.

Structure (CIF):
```
data_HfFeBi2
_symmetry_space_group_name_H-M 'F -4 3 m'
_symmetry_Int_Tables_number 216
_symmetry_space_group_name_Hall 'F -4 2 3'
_cell_length_a 7.115
_cell_length_b 7.115
_cell_length_c 7.115
_cell_angle_alpha 90.00
_cell_angle_beta 90.00
_cell_angle_gamma 90.00
loop_
_atom_site_label
_atom_site_type_symbol
_atom_site_fract_x
_atom_site_fract_y
_atom_site_fract_z
Hf1 Hf 0.000 0.000 0.000
Fe1 Fe 0.250 0.250 0.750
Bi1 Bi 0.000 0.000 0.500
Bi2 Bi 0.250 0.250 0.250
```

---

First-principles (PBE) data for a relaxed structure of HfFeBi2, as listed in the Open Quantum Materials Database.

Structure (CIF):
```
data_HfFeBi2
_symmetry_space_group_name_H-M 'F -4 3 m'
_symmetry_Int_Tables_number 216
_symmetry_space_group_name_Hall 'F -4 2 3'
_cell_length_a 7.107
_cell_length_b 7.107
_cell_length_c 7.107
_cell_angle_alpha 90.00
_cell_angle_beta 90.00
_cell_angle_gamma 90.00
loop_
_atom_site_label
_atom_site_type_symbol
_atom_site_fract_x
_atom_site_fract_y
_atom_site_fract_z
Hf1 Hf 0.000 0.000 0.000
Fe1 Fe 0.250 0.250 0.250
Bi1 Bi 0.000 0.000 0.500
Bi2 Bi 0.250 0.250 0.750
```

---

First-principles (PBE) data for a relaxed structure of Hf2FeBi, as listed in the Open Quantum Materials Database.

Structure (CIF):
```
data_Hf2FeBi
_symmetry_space_group_name_H-M 'F -4 3 m'
_symmetry_Int_Tables_number 216
_symmetry_space_group_name_Hall 'F -4 2 3'
_cell_length_a 6.810
_cell_length_b 6.810
_cell_length_c 6.810
_cell_angle_alpha 90.00
_cell_angle_beta 90.00
_cell_angle_gamma 90.00
loop_
_atom_site_label
_atom_site_type_symbol
_atom_site_fract_x
_atom_site_fract_y
_atom_site_fract_z
Hf1 Hf 0.000 0.000 0.000
Hf2 Hf 0.250 0.250 0.250
Fe1 Fe 0.250 0.250 0.750
Bi1 Bi 0.000 0.000 0.500
```

---

First-principles (PBE) data for a relaxed structure of Hf3Fe4Bi4, as listed in the Open Quantum Materials Database.

Structure (CIF):
```
data_Hf3Fe4Bi4
_symmetry_space_group_name_H-M 'I -4 2 m'
_symmetry_Int_Tables_number 121
_symmetry_space_group_name_Hall 'I -4 2'
_cell_length_a 6.283
_cell_length_b 6.283
_cell_length_c 12.440
_cell_angle_alpha 90.00
_cell_angle_beta 90.00
_cell_angle_gamma 90.00
loop_
_atom_site_label
_atom_site_type_symbol
_atom_site_fract_x
_atom_site_fract_y
_atom_site_fract_z
Hf1 Hf 0.000 0.000 0.000
Hf2 Hf 0.000 0.500 0.250
Fe1 Fe 0.250 0.250 0.123
Bi1 Bi 0.000 0.000 0.254
Bi2 Bi 0.000 0.500 0.000
```

---

First-principles (PBE) data for a relaxed structure of Ho3Hf3FeBi2, as listed in the Open Quantum Materials Database.

Calculated values
The value obtained for the energy above the most stable polymorph in this dataset is 293 meV per atom.

Structure (CIF):
```
data_Ho3Hf3FeBi2
_symmetry_space_group_name_H-M 'P -6 2 m'
_symmetry_Int_Tables_number 189
_symmetry_space_group_name_Hall 'P -6 -2'
_cell_length_a 8.1078
_cell_length_b 8.1078
_cell_length_c 3.7713
_cell_angle_alpha 90.00
_cell_angle_beta 90.00
_cell_angle_gamma 120.00
loop_
_atom_site_label
_atom_site_type_symbol
_atom_site_fract_x
_atom_site_fract_y
_atom_site_fract_z
Ho1 Ho 0.0000 0.2419 0.0000
Hf1 Hf 0.0000 0.6164 0.5000
Fe1 Fe 0.0000 0.0000 0.5000
Bi1 Bi 0.3333 0.6667 0.0000
```

---

Number 1: total energy -25.72 eV/f.u., theoretical density 11.583 g/cm3. Number 2: total energy -32.19 eV/f.u., theoretical density 7.277 g/cm3. Number 3: total energy -27.35 eV/f.u., theoretical density 10.709 g/cm3. Number 4: total energy -18.09 eV/f.u., theoretical density 10.360 g/cm3. Number 5: total energy -18.89 eV/f.u., theoretical density 10.321 g/cm3. Number 6: total energy -18.11 eV/f.u., theoretical density 10.454 g/cm3. Number 7: total energy -27.94 eV/f.u., theoretical density 9.945 g/cm3. Number 8: total energy -18.09 eV/f.u., theoretical density 10.377 g/cm3. Number 9: total energy -27.35 eV/f.u., theoretical density 10.481 g/cm3. Number 10: total energy -20.06 eV/f.u., theoretical density 10.345 g/cm3. Number 11: total energy -23.91 eV/f.u., theoretical density 9.586 g/cm3. Number 12: total energy -15.87 eV/f.u., theoretical density 8.910 g/cm3. Number 13: total energy -23.91 eV/f.u., theoretical density 9.585 g/cm3. Number 14: total energy -16.23 eV/f.u., theoretical density 6.789 g/cm3. Number 15: total energy -16.96 eV/f.u., theoretical density 7.289 g/cm3. Number 16: total energy -24.28 eV/f.u., theoretical density 12.031 g/cm3. Number 17: total energy -24.27 eV/f.u., theoretical density 12.069 g/cm3. Number 18: total energy -30.52 eV/f.u., theoretical density 13.078 g/cm3. Number 19: total energy -77.79 eV/f.u., theoretical density 10.784 g/cm3. Number 20: total energy -60.95 eV/f.u., theoretical density 11.633 g/cm3.